Record 1
{"formula": "HoAl3Pt", "functional": "PBE", "state": "relaxed", "density_kg_m3": 7741, "delta_e_f_ev_per_atom": -0.812, "crystal_system": "orthorhombic", "space_group": "No. 62", "de_polymorph_mev_per_atom": 0, "dos_ef_per_ev_cell": 9.60, "lattice": [[8.301, 0.000, 0.000], [0.000, 4.157, 0.000], [0.000, 0.000, 10.967]], "species": ["Ho", "Ho", "Ho", "Ho", "Al", "Al", "Al", "Al", "Al", "Al", "Al", "Al", "Al", "Al", "Al", "Al", "Pt", "Pt", "Pt", "Pt"], "fractional_positions": [[0.187, 0.250, 0.012], [0.313, 0.750, 0.512], [0.687, 0.250, 0.488], [0.813, 0.750, 0.988], [0.063, 0.250, 0.586], [0.109, 0.750, 0.802], [0.142, 0.750, 0.216], [0.358, 0.250, 0.716], [0.391, 0.250, 0.302], [0.437, 0.750, 0.086], [0.563, 0.250, 0.914], [0.609, 0.750, 0.698], [0.642, 0.750, 0.284], [0.858, 0.250, 0.784], [0.891, 0.250, 0.198], [0.937, 0.750, 0.414], [0.101, 0.250, 0.356], [0.399, 0.750, 0.856], [0.601, 0.250, 0.144], [0.899, 0.750, 0.644]]}



Record 2
{"formula": "Ho2Al4Pt3Rh", "functional": "PBE", "state": "relaxed", "density_kg_m3": 10239, "delta_e_f_ev_per_atom": -1.098, "crystal_system": "tetragonal", "space_group": "No. 115", "dos_ef_per_ev_cell": 6.74, "lattice": [[4.185, 0.000, 0.000], [0.000, 4.185, 0.000], [0.000, 0.000, 10.424]], "species": ["Ho", "Ho", "Al", "Al", "Al", "Al", "Pt", "Pt", "Pt", "Rh"], "fractional_positions": [[0.000, 0.500, 0.245], [0.500, 0.000, 0.755], [0.000, 0.000, 0.500], [0.000, 0.500, 0.873], [0.500, 0.000, 0.127], [0.500, 0.500, 0.500], [0.000, 0.000, 0.000], [0.000, 0.500, 0.637], [0.500, 0.000, 0.363], [0.500, 0.500, 0.000]]}



Record 3
{"formula": "HoScAlPt", "functional": "PBE", "state": "relaxed", "density_kg_m3": 8766, "delta_e_f_ev_per_atom": -0.759, "crystal_system": "cubic", "space_group": "No. 216", "dos_ef_per_ev_cell": 2.36, "lattice": [[0.000, 3.446, 3.446], [3.446, 0.000, 3.446], [3.446, 3.446, 0.000]], "species": ["Ho", "Sc", "Al", "Pt"], "fractional_positions": [[0.000, 0.000, 0.000], [0.500, 0.500, 0.500], [0.750, 0.750, 0.750], [0.250, 0.250, 0.250]]}



Record 4
{"formula": "Ho2AlSi3Pt4", "functional": "PBE", "state": "relaxed", "e_form_raw_ev_per_atom": -1.12, "density_kg_m3": 11573, "crystal_system": "tetragonal", "space_group": "No. 115", "dos_ef_per_ev_cell": 5.15, "lattice": [[4.163, 0.000, 0.000], [0.000, 4.163, 0.000], [0.000, 0.000, 10.113]], "species": ["Ho", "Ho", "Al", "Si", "Si", "Si", "Pt", "Pt", "Pt", "Pt"], "fractional_positions": [[0.000, 0.500, 0.250], [0.500, 0.000, 0.750], [0.000, 0.000, 0.500], [0.000, 0.500, 0.868], [0.500, 0.000, 0.132], [0.500, 0.500, 0.500], [0.000, 0.000, 0.000], [0.000, 0.500, 0.635], [0.500, 0.000, 0.365], [0.500, 0.500, 0.000]]}



Record 5
{"formula": "Ho2AlSi4Pt3", "functional": "PBE", "state": "relaxed", "e_form_raw_ev_per_atom": -0.99, "density_kg_m3": 10140, "crystal_system": "tetragonal", "space_group": "No. 115", "dos_ef_per_ev_cell": 3.48, "lattice": [[4.034, 0.000, 0.000], [0.000, 4.034, 0.000], [0.000, 0.000, 10.613]], "species": ["Ho", "Ho", "Al", "Si", "Si", "Si", "Si", "Pt", "Pt", "Pt"], "fractional_positions": [[0.000, 0.500, 0.246], [0.500, 0.000, 0.754], [0.500, 0.500, 0.000], [0.000, 0.000, 0.500], [0.000, 0.500, 0.854], [0.500, 0.000, 0.146], [0.500, 0.500, 0.500], [0.000, 0.000, 0.000], [0.000, 0.500, 0.630], [0.500, 0.000, 0.370]]}



Record 6
{"formula": "Ho2Al4SiPt3", "functional": "PBE", "state": "relaxed", "e_form_raw_ev_per_atom": -0.96, "density_kg_m3": 9541, "crystal_system": "tetragonal", "space_group": "No. 115", "dos_ef_per_ev_cell": 6.07, "lattice": [[4.118, 0.000, 0.000], [0.000, 4.118, 0.000], [0.000, 0.000, 10.786]], "species": ["Ho", "Ho", "Al", "Al", "Al", "Al", "Si", "Pt", "Pt", "Pt"], "fractional_positions": [[0.000, 0.500, 0.248], [0.500, 0.000, 0.752], [0.000, 0.000, 0.500], [0.000, 0.500, 0.863], [0.500, 0.000, 0.137], [0.500, 0.500, 0.500], [0.500, 0.500, 0.000], [0.000, 0.000, 0.000], [0.000, 0.500, 0.637], [0.500, 0.000, 0.363]]}



Record 7
{"formula": "Ho2TiAl2Pt5", "functional": "PBE", "state": "relaxed", "density_kg_m3": 13148, "delta_e_f_ev_per_atom": -1.042, "crystal_system": "tetragonal", "space_group": "No. 127", "dos_ef_per_ev_cell": 10.99, "lattice": [[9.997, 0.000, 0.000], [0.000, 9.997, 0.000], [0.000, 0.000, 3.556]], "species": ["Ho", "Ho", "Ho", "Ho", "Ti", "Ti", "Al", "Al", "Al", "Al", "Pt", "Pt", "Pt", "Pt", "Pt", "Pt", "Pt", "Pt", "Pt", "Pt"], "fractional_positions": [[0.175, 0.325, 0.000], [0.325, 0.825, 0.000], [0.675, 0.175, 0.000], [0.825, 0.675, 0.000], [0.000, 0.000, 0.000], [0.500, 0.500, 0.000], [0.126, 0.626, 0.000], [0.374, 0.126, 0.000], [0.626, 0.874, 0.000], [0.874, 0.374, 0.000], [0.000, 0.500, 0.500], [0.052, 0.798, 0.500], [0.202, 0.052, 0.500], [0.298, 0.552, 0.500], [0.448, 0.298, 0.500], [0.500, 0.000, 0.500], [0.552, 0.702, 0.500], [0.702, 0.448, 0.500], [0.798, 0.948, 0.500], [0.948, 0.202, 0.500]]}



Record 8
{"formula": "Ho2TiAl4Pt3", "functional": "PBE", "state": "relaxed", "density_kg_m3": 9486, "delta_e_f_ev_per_atom": -0.927, "crystal_system": "tetragonal", "space_group": "No. 115", "dos_ef_per_ev_cell": 6.32, "lattice": [[4.090, 0.000, 0.000], [0.000, 4.090, 0.000], [0.000, 0.000, 11.208]], "species": ["Ho", "Ho", "Ti", "Al", "Al", "Al", "Al", "Pt", "Pt", "Pt"], "fractional_positions": [[0.000, 0.500, 0.248], [0.500, 0.000, 0.752], [0.000, 0.000, 0.500], [0.000, 0.000, 0.000], [0.000, 0.500, 0.646], [0.500, 0.000, 0.354], [0.500, 0.500, 0.000], [0.000, 0.500, 0.866], [0.500, 0.000, 0.134], [0.500, 0.500, 0.500]]}



Record 9
{"formula": "Ho2AlZn2Pt5", "functional": "PBE", "state": "relaxed", "density_kg_m3": 14034, "delta_e_f_ev_per_atom": -0.912, "crystal_system": "tetragonal", "space_group": "No. 127", "dos_ef_per_ev_cell": 8.49, "lattice": [[9.641, 0.000, 0.000], [0.000, 9.641, 0.000], [0.000, 0.000, 3.725]], "species": ["Ho", "Ho", "Ho", "Ho", "Al", "Al", "Zn", "Zn", "Zn", "Zn", "Pt", "Pt", "Pt", "Pt", "Pt", "Pt", "Pt", "Pt", "Pt", "Pt"], "fractional_positions": [[0.174, 0.326, 0.000], [0.326, 0.826, 0.000], [0.674, 0.174, 0.000], [0.826, 0.674, 0.000], [0.000, 0.000, 0.000], [0.500, 0.500, 0.000], [0.124, 0.624, 0.000], [0.376, 0.124, 0.000], [0.624, 0.876, 0.000], [0.876, 0.376, 0.000], [0.000, 0.500, 0.500], [0.063, 0.800, 0.500], [0.200, 0.063, 0.500], [0.300, 0.563, 0.500], [0.437, 0.300, 0.500], [0.500, 0.000, 0.500], [0.563, 0.700, 0.500], [0.700, 0.437, 0.500], [0.800, 0.937, 0.500], [0.937, 0.200, 0.500]]}



Record 10
{"formula": "Ho2Al2ZnPt5", "functional": "PBE", "state": "relaxed", "density_kg_m3": 13516, "delta_e_f_ev_per_atom": -0.941, "crystal_system": "tetragonal", "space_group": "No. 127", "dos_ef_per_ev_cell": 9.34, "lattice": [[9.775, 0.000, 0.000], [0.000, 9.775, 0.000], [0.000, 0.000, 3.664]], "species": ["Ho", "Ho", "Ho", "Ho", "Al", "Al", "Al", "Al", "Zn", "Zn", "Pt", "Pt", "Pt", "Pt", "Pt", "Pt", "Pt", "Pt", "Pt", "Pt"], "fractional_positions": [[0.176, 0.324, 0.000], [0.324, 0.824, 0.000], [0.676, 0.176, 0.000], [0.824, 0.676, 0.000], [0.123, 0.623, 0.000], [0.377, 0.123, 0.000], [0.623, 0.877, 0.000], [0.877, 0.377, 0.000], [0.000, 0.000, 0.000], [0.500, 0.500, 0.000], [0.000, 0.500, 0.500], [0.065, 0.795, 0.500], [0.205, 0.065, 0.500], [0.295, 0.565, 0.500], [0.435, 0.295, 0.500], [0.500, 0.000, 0.500], [0.565, 0.705, 0.500], [0.705, 0.435, 0.500], [0.795, 0.935, 0.500], [0.935, 0.205, 0.500]]}



Record 11
{"formula": "HoAlZnPt2", "functional": "PBE", "state": "relaxed", "density_kg_m3": 11675, "delta_e_f_ev_per_atom": -0.972, "crystal_system": "tetragonal", "space_group": "No. 119", "dos_ef_per_ev_cell": 2.57, "lattice": [[-1.939, 1.939, 6.123], [1.939, -1.939, 6.123], [1.939, 1.939, -6.123]], "species": ["Ho", "Al", "Zn", "Pt", "Pt"], "fractional_positions": [[0.000, 0.000, 0.000], [0.750, 0.250, 0.500], [0.250, 0.750, 0.500], [0.389, 0.389, 0.000], [0.611, 0.611, 0.000]]}



Record 12
{"formula": "Ho2PuAl", "functional": "PBE", "state": "relaxed", "density_kg_m3": 9539, "delta_e_f_ev_per_atom": -0.115, "crystal_system": "tetragonal", "space_group": "No. 123", "de_polymorph_mev_per_atom": 0, "dos_ef_per_ev_cell": 7.88, "lattice": [[3.444, 0.000, 0.000], [0.000, 3.444, 0.000], [0.000, 0.000, 8.816]], "species": ["Ho", "Ho", "Pu", "Al"], "fractional_positions": [[0.000, 0.000, 0.219], [0.000, 0.000, 0.781], [0.500, 0.500, 0.500], [0.500, 0.500, 0.000]]}